[1]
A plane-wave DFT calculation with PBEsol was carried out for a geometry-optimized Te3Au structure.

DFT total energy: -13.73 eV per formula unit
Crystal system: orthorhombic
Raw formation energy: 19 kJ/mol of atoms

a b c (Å): 3.4525 3.4525 9.3229
angles (deg): 90.00 90.00 112.94
Last column: nearest neighbours and their distance in Å.
Atoms (fractional coordinates):
1 Te 0.5000 0.5000 0.2113  2 Au 2.74
2 Te 0.0000 0.0000 0.5000  8 Te 3.30-3.45
3 Te 0.5000 0.5000 0.7887  2 Au 2.74
4 Au 0.0000 0.0000 0.0000  4 Te 2.74

---

[2]
A plane-wave DFT calculation with PBEsol was carried out for a geometry-optimized Te5Au structure.

DFT total energy: -21.73 eV per formula unit
Crystal system: monoclinic
Raw formation energy: -3 kJ/mol of atoms

a b c (Å): 4.2200 4.2000 11.0206
angles (deg): 90.09 90.00 120.16
Last column: nearest neighbours and their distance in Å.
Atoms (fractional coordinates):
1 Au 0.0277 0.0554 0.9444  6 Te 2.74-2.89
2 Te 0.3463 0.6926 0.8115  3 Au 2.74-2.89
3 Te 0.7090 0.4181 0.0774  3 Au 2.74-2.89
4 Te 0.7057 0.4114 0.6211  6 Te 3.05-3.35
5 Te 0.3500 0.6999 0.2678  6 Te 3.05-3.35
6 Te 0.0280 0.0559 0.4444  6 Te 3.05-3.15

---

[3]
A plane-wave DFT calculation with PBEsol was carried out for a geometry-optimized Te3Au structure.

DFT total energy: -13.91 eV per formula unit
Crystal system: orthorhombic
Raw formation energy: 14 kJ/mol of atoms

a b c (Å): 3.8551 3.9263 7.0151
angles (deg): 90.00 90.00 90.00
Last column: nearest neighbours and their distance in Å.
Atoms (fractional coordinates):
1 Au 0.0000 0.0000 0.9962  6 Te 2.86-2.90
2 Te 0.0000 0.5000 0.2918  2 Au 2.86, 4 Te 3.16
3 Te 0.5000 0.5000 0.8645  4 Au 2.90, 2 Te 3.15
4 Te 0.5000 0.0000 0.5142  6 Te 3.15-3.16

---

[4]
A plane-wave DFT calculation with PBEsol was carried out for a geometry-optimized Te8Au structure.

DFT total energy: -30.53 eV per formula unit
Crystal system: tetragonal
Raw formation energy: 17 kJ/mol of atoms

a b c (Å): 7.2659 7.2659 7.2659
angles (deg): 105.61 105.61 117.51
Last column: nearest neighbours and their distance in Å.
Atoms (fractional coordinates):
1 Te 0.6679 0.6679 0.3357  4 Te 2.93-2.95
2 Te 0.6679 0.3321 0.0000  4 Te 2.93-2.95
3 Te 0.3321 0.6679 0.0000  4 Te 2.93-2.95
4 Te 0.6942 0.0000 0.6942  1 Au 2.69, 2 Te 2.93
5 Te 0.3058 0.0000 0.3058  1 Au 2.69, 2 Te 2.93
6 Te 0.3321 0.3321 0.6643  4 Te 2.93-2.95
7 Te 0.0000 0.6942 0.6942  1 Au 2.69, 2 Te 2.93
8 Te 0.0000 0.3058 0.3058  1 Au 2.69, 2 Te 2.93
9 Au 0.0000 0.0000 0.0000  4 Te 2.69

---

[5]
A plane-wave DFT calculation with PBEsol was carried out for a geometry-optimized Te3Au structure.

DFT total energy: -14.67 eV per formula unit
Crystal system: trigonal
Raw formation energy: -4 kJ/mol of atoms

a b c (Å): 4.1372 4.1372 7.5573
angles (deg): 74.11 74.11 60.00
Last column: nearest neighbours and their distance in Å.
Atoms (fractional coordinates):
1 Te 0.5000 0.5000 0.5000  6 Te 3.17
2 Te 0.2636 0.2636 0.2091  3 Au 2.82
3 Te 0.7364 0.7364 0.7909  3 Au 2.82
4 Au 0.0000 0.0000 0.0000  6 Te 2.82

---

[6]
A plane-wave DFT calculation with PBEsol was carried out for a geometry-optimized TeAu structure.

DFT total energy: -7.35 eV per formula unit
Crystal system: cubic
Raw formation energy: 5 kJ/mol of atoms

a b c (Å): 4.3506 4.3506 4.3506
angles (deg): 60.00 60.00 60.00
Last column: nearest neighbours and their distance in Å.
Atoms (fractional coordinates):
1 Au 0.0000 0.0000 0.0000  4 Te 2.66
2 Te 0.2500 0.2500 0.2500  4 Au 2.66

---

[7]
A plane-wave DFT calculation with PBEsol was carried out for a geometry-optimized Te3Au structure.

DFT total energy: -13.23 eV per formula unit
Crystal system: orthorhombic
Raw formation energy: 31 kJ/mol of atoms

a b c (Å): 3.0599 3.9968 8.2541
angles (deg): 90.00 90.00 90.00
Last column: nearest neighbours and their distance in Å.
Atoms (fractional coordinates):
1 Te 0.5000 0.5000 0.7872  2 Te 3.06, 4 Au 3.07
2 Te 0.5000 0.5000 0.2128  2 Te 3.06, 4 Au 3.07
3 Te 0.0000 0.0000 0.5000  2 Te 3.06
4 Au 0.0000 0.0000 0.0000  2 Au 3.06, 8 Te 3.07

---

[8]
A plane-wave DFT calculation with PBEsol was carried out for a geometry-optimized Te3Au structure.

DFT total energy: -12.71 eV per formula unit
Crystal system: cubic
Raw formation energy: 43 kJ/mol of atoms

a b c (Å): 4.6354 4.6354 4.6354
angles (deg): 90.00 90.00 90.00
Last column: nearest neighbours and their distance in Å.
Atoms (fractional coordinates):
1 Te 0.0000 0.5000 0.5000  8 Te 3.28, 4 Au 3.28
2 Te 0.5000 0.0000 0.5000  8 Te 3.28, 4 Au 3.28
3 Te 0.5000 0.5000 0.0000  8 Te 3.28, 4 Au 3.28
4 Au 0.0000 0.0000 0.0000  12 Te 3.28

---

What is the formula in the second record?
Te5Au